No. 1
Density functional theory data (PBE) for a geometry-optimized Pm2SmDyTm4 structure.

Unit cell a=6.780 b=11.754 c=13.228 alpha=90.00 beta=90.00 gamma=90.00
Space group Imma (No. 74)
Asymmetric unit:
Pm: 0.000 0.000 0.000 x4
Pm: 0.250 0.250 0.250 x4
Sm: 0.000 0.000 0.500 x4
Dy: 0.250 0.250 0.750 x4
Tm: 0.000 0.003 0.750 x8
Tm: 0.250 0.250 0.502 x8

ΔH_f (0 K) in eV/atom: 0.430
N(E_F) in states/eV/cell: 71.0

=====

No. 2
Density functional theory data (PBE) for a geometry-optimized Pm2Sm6DyTm structure.

Unit cell a=9.150 b=15.274 c=9.731 alpha=90.00 beta=98.22 gamma=90.00
Space group C2/c (No. 15)
Asymmetric unit:
Pm: 0.248 0.051 0.043 x8
Sm: 0.061 0.186 0.444 x8
Sm: 0.103 0.394 0.619 x8
Sm: 0.206 0.222 0.811 x8
Dy: 0.000 0.021 0.750 x4
Tm: 0.000 0.409 0.250 x4

ΔH_f (0 K) in eV/atom: 0.116
N(E_F) in states/eV/cell: 55.4

=====

No. 3
Density functional theory data (PBE) for a geometry-optimized Pm2SmDy2Tm structure.

Unit cell a=6.603 b=17.968 c=3.384 alpha=90.00 beta=90.00 gamma=90.00
Space group Pnnm (No. 58)
Asymmetric unit:
Pm: 0.232 0.185 0.000 x4
Sm: 0.000 0.500 0.000 x2
Dy: 0.230 0.354 0.500 x4
Tm: 0.000 0.000 0.000 x2

ΔH_f (0 K) in eV/atom: 0.266
N(E_F) in states/eV/cell: 19.6

=====

No. 4
Density functional theory data (PBE) for a geometry-optimized Pm2SmDy6Tm structure.

Unit cell a=9.041 b=15.041 c=9.664 alpha=90.00 beta=98.52 gamma=90.00
Space group C2/c (No. 15)
Asymmetric unit:
Pm: 0.248 0.051 0.043 x8
Sm: 0.000 0.019 0.750 x4
Dy: 0.066 0.190 0.443 x8
Dy: 0.100 0.394 0.619 x8
Dy: 0.205 0.223 0.813 x8
Tm: 0.000 0.408 0.250 x4

ΔH_f (0 K) in eV/atom: 0.116
N(E_F) in states/eV/cell: 54.3